[1]
Below is an optimized crystal structure of ZnCr2Pb, with properties calculated at the PBE-GGA level.

Unit cell a=3.862 b=3.862 c=9.770 alpha=78.60 beta=78.60 gamma=90.00
Atoms (fractional coordinates):
Pb (0.000, 0.000, 0.000)
Pb (0.750, 0.250, 0.500)
Cr (0.536, 0.125, 0.250)
Cr (0.214, 0.625, 0.250)
Cr (0.375, 0.464, 0.750)
Cr (0.875, 0.786, 0.750)
Zn (0.500, 0.500, 0.000)
Zn (0.250, 0.750, 0.500)

Output
symmetry: I-42d (122)
VASP energy: -0.3786 Ry/atom
magnetic moment: 0.0 μB per cell

***

[2]
Below is an optimized crystal structure of MnHg4As, with properties calculated at the PBE-GGA level.

Unit cell a=5.860 b=5.860 c=5.860 alpha=60.00 beta=60.00 gamma=60.00
Site moments in Bohr magnetons follow the coordinates.
Atoms (fractional coordinates):
Mn (0.750, 0.750, 0.750)  4.25
Hg (0.875, 0.375, 0.375)  -0.02
Hg (0.375, 0.375, 0.875)  -0.02
Hg (0.375, 0.875, 0.375)  -0.02
Hg (0.375, 0.375, 0.375)  -0.02
As (0.000, 0.000, 0.000)  -0.11

Output
symmetry: F-43m (216)
VASP energy: -0.1418 Ry/atom
magnetic moment: 4.2 μB per cell

***

[3]
Below is an optimized crystal structure of Sm2YEr, with properties calculated at the PBE-GGA level.

Unit cell a=5.036 b=5.083 c=5.083 alpha=90.00 beta=90.00 gamma=90.00
Atoms (fractional coordinates):
Y (0.500, 0.000, 0.000)
Sm (0.000, 0.000, 0.500)
Sm (0.000, 0.500, 0.000)
Er (0.500, 0.500, 0.500)

Output
symmetry: P4/mmm (123)
VASP energy: -0.3744 Ry/atom
excess energy over the best structure of this formula in the dataset: 7 meV per atom
magnetic moment: 0.0 μB per cell

***

[4]
Below is an optimized crystal structure of CaCuSe2, with properties calculated at the PBE-GGA level.

Unit cell a=4.894 b=4.894 c=4.894 alpha=60.00 beta=60.00 gamma=60.00
Atoms (fractional coordinates):
Ca (0.000, 0.000, 0.000)
Cu (0.500, 0.500, 0.500)
Se (0.250, 0.250, 0.250)
Se (0.750, 0.750, 0.750)

Output
formation energy from raw total energies: -0.601 eV/atom
symmetry: Fm-3m (225)
VASP energy: -0.2843 Ry/atom
magnetic moment: 0.0 μB per cell

***

[5]
Below is an optimized crystal structure of LaY6Er2, with properties calculated at the PBE-GGA level.

Unit cell a=6.244 b=6.253 c=20.994 alpha=121.39 beta=121.62 gamma=78.96
Atoms (fractional coordinates):
La (0.971, 0.032, 0.250)
La (0.029, 0.968, 0.750)
Y (0.342, 0.226, 0.474)
Y (0.776, 0.659, 0.026)
Y (0.658, 0.774, 0.526)
Y (0.224, 0.341, 0.974)
Y (0.182, 0.692, 0.885)
Y (0.312, 0.815, 0.617)
Y (0.818, 0.308, 0.115)
Y (0.688, 0.185, 0.383)
Y (0.333, 0.036, 0.103)
Y (0.966, 0.673, 0.399)
Y (0.667, 0.964, 0.897)
Y (0.034, 0.327, 0.601)
Er (0.333, 0.583, 0.312)
Er (0.428, 0.665, 0.189)
Er (0.667, 0.417, 0.688)
Er (0.572, 0.335, 0.811)

Output
symmetry: P-1 (2)
VASP energy: -0.4224 Ry/atom
excess energy over the best structure of this formula in the dataset: 96 meV per atom
magnetic moment: 0.0 μB per cell

***

[6]
Below is an optimized crystal structure of La2ZrBr, with properties calculated at the PBE-GGA level.

Unit cell a=8.900 b=5.822 c=3.445 alpha=89.81 beta=67.51 gamma=130.63
Atoms (fractional coordinates):
Br (0.500, 0.500, 0.000)
Zr (0.000, 0.500, 0.500)
La (0.000, 0.000, 0.000)
La (0.500, 0.000, 0.500)

Output
formation energy from raw total energies: -0.332 eV/atom
symmetry: C2/m (12)
VASP energy: -0.3933 Ry/atom
excess energy over the best structure of this formula in the dataset: 131 meV per atom
magnetic moment: 0.0 μB per cell

***

[7]
Below is an optimized crystal structure of Hf9Mo4Se, with properties calculated at the PBE-GGA level.

Unit cell a=8.729 b=8.729 c=8.605 alpha=90.00 beta=90.00 gamma=120.00
Atoms (fractional coordinates):
Hf (0.542, 0.084, 0.250)
Hf (0.458, 0.916, 0.750)
Hf (0.916, 0.458, 0.250)
Hf (0.084, 0.542, 0.750)
Hf (0.542, 0.458, 0.250)
Hf (0.458, 0.542, 0.750)
Hf (0.194, 0.389, 0.046)
Hf (0.806, 0.611, 0.954)
Hf (0.611, 0.806, 0.046)
Hf (0.806, 0.611, 0.546)
Hf (0.389, 0.194, 0.954)
Hf (0.194, 0.389, 0.454)
Hf (0.194, 0.806, 0.046)
Hf (0.389, 0.194, 0.546)
Hf (0.806, 0.194, 0.954)
Hf (0.611, 0.806, 0.454)
Hf (0.806, 0.194, 0.546)
Hf (0.194, 0.806, 0.454)
Mo (0.000, 0.000, 0.000)
Mo (0.000, 0.000, 0.500)
Mo (0.890, 0.779, 0.250)
Mo (0.110, 0.221, 0.750)
Mo (0.221, 0.110, 0.250)
Mo (0.779, 0.890, 0.750)
Mo (0.890, 0.110, 0.250)
Mo (0.110, 0.890, 0.750)
Se (0.333, 0.667, 0.250)
Se (0.667, 0.333, 0.750)

Output
formation energy from raw total energies: -0.257 eV/atom
symmetry: P6_3/mmc (194)
VASP energy: -0.7349 Ry/atom
magnetic moment: 0.0 μB per cell

***

[8]
Below is an optimized crystal structure of NdHo2P3, with properties calculated at the PBE-GGA level.

Unit cell a=4.051 b=5.732 c=7.011 alpha=114.13 beta=106.79 gamma=90.00
Atoms (fractional coordinates):
Nd (0.000, 0.500, 0.000)
Ho (0.666, 0.166, 0.332)
Ho (0.334, 0.834, 0.668)
P (0.328, 0.328, 0.655)
P (0.000, 0.000, 0.000)
P (0.672, 0.672, 0.345)

Output
symmetry: Immm (71)
VASP energy: -0.4851 Ry/atom
magnetic moment: 0.0 μB per cell

***

[9]
Below is an optimized crystal structure of UNbVTc, with properties calculated at the PBE-GGA level.

Unit cell a=4.554 b=4.554 c=4.554 alpha=60.00 beta=60.00 gamma=60.00
Atoms (fractional coordinates):
Nb (0.750, 0.750, 0.750)
U (0.000, 0.000, 0.000)
Tc (0.500, 0.500, 0.500)
V (0.250, 0.250, 0.250)

Output
symmetry: F-43m (216)
VASP energy: -0.7432 Ry/atom
magnetic moment: 0.0 μB per cell

***

[10]
Below is an optimized crystal structure of Sr2MgAlH, with properties calculated at the PBE-GGA level.

Unit cell a=5.560 b=5.560 c=4.141 alpha=90.00 beta=90.00 gamma=90.00
Atoms (fractional coordinates):
Sr (0.000, 0.500, 0.000)
Sr (0.500, 0.000, 0.000)
Mg (0.500, 0.500, 0.500)
Al (0.000, 0.000, 0.500)
H (0.000, 0.000, 0.000)

Output
symmetry: P4/mmm (123)
VASP energy: -0.1863 Ry/atom
excess energy over the best structure of this formula in the dataset: 34 meV per atom
magnetic moment: 0.0 μB per cell

***

[11]
Below is an optimized crystal structure of TbDy6Y8, with properties calculated at the PBE-GGA level.

Unit cell a=9.710 b=9.710 c=8.157 alpha=53.47 beta=53.47 gamma=60.00
Atoms (fractional coordinates):
Tb (0.000, 0.000, 0.000)
Dy (0.389, 0.931, 0.966)
Dy (0.069, 0.285, 0.034)
Dy (0.285, 0.611, 0.034)
Dy (0.715, 0.389, 0.966)
Dy (0.931, 0.715, 0.966)
Dy (0.611, 0.069, 0.034)
Y (0.356, 0.229, 0.486)
Y (0.771, 0.072, 0.514)
Y (0.072, 0.644, 0.514)
Y (0.587, 0.587, 0.238)
Y (0.413, 0.413, 0.762)
Y (0.928, 0.356, 0.486)
Y (0.229, 0.928, 0.486)
Y (0.644, 0.771, 0.514)

Output
symmetry: R-3 (148)
VASP energy: -0.3978 Ry/atom
excess energy over the best structure of this formula in the dataset: 55 meV per atom
magnetic moment: 0.0 μB per cell

***

[12]
Below is an optimized crystal structure of Nd3SmZn, with properties calculated at the PBE-GGA level.

Unit cell a=3.730 b=6.570 c=13.243 alpha=93.60 beta=89.97 gamma=73.52
Atoms (fractional coordinates):
Nd (0.134, 0.732, 0.461)
Nd (0.363, 0.275, 0.052)
Nd (0.068, 0.864, 0.186)
Nd (0.866, 0.268, 0.539)
Nd (0.932, 0.136, 0.814)
Nd (0.637, 0.725, 0.948)
Sm (0.202, 0.595, 0.723)
Sm (0.798, 0.405, 0.277)
Zn (0.532, 0.935, 0.640)
Zn (0.468, 0.065, 0.360)

Output
symmetry: P-1 (2)
VASP energy: -0.3067 Ry/atom
excess energy over the best structure of this formula in the dataset: 0 meV per atom
magnetic moment: 0.0 μB per cell

***

[13]
Below is an optimized crystal structure of Sr2ZrRu, with properties calculated at the PBE-GGA level.

Unit cell a=6.279 b=6.279 c=6.279 alpha=140.07 beta=140.07 gamma=57.75
Atoms (fractional coordinates):
Ru (0.750, 0.250, 0.500)
Sr (0.000, 0.000, 0.000)
Sr (0.500, 0.500, 0.000)
Zr (0.250, 0.750, 0.500)

Output
symmetry: I4/mmm (139)
VASP energy: -0.3435 Ry/atom
excess energy over the best structure of this formula in the dataset: 572 meV per atom
magnetic moment: 0.0 μB per cell

***

[14]
Below is an optimized crystal structure of CuBrCl2, with properties calculated at the PBE-GGA level.

Unit cell a=5.191 b=5.191 c=5.191 alpha=60.87 beta=60.87 gamma=91.68
Atoms (fractional coordinates):
Cu (0.500, 0.000, 0.500)
Br (0.000, 0.500, 0.500)
Cl (0.000, 0.000, 0.000)
Cl (0.500, 0.500, 0.000)

Output
formation energy from raw total energies: 0.142 eV/atom
symmetry: C2/m (12)
VASP energy: -0.1634 Ry/atom
excess energy over the best structure of this formula in the dataset: 394 meV per atom
magnetic moment: 0.0 μB per cell

***

[15]
Below is an optimized crystal structure of LiAg3Cl6, with properties calculated at the PBE-GGA level.

Unit cell a=4.037 b=8.053 c=8.053 alpha=108.66 beta=90.00 gamma=90.00
Atoms (fractional coordinates):
Li (0.000, 0.500, 0.500)
Ag (0.500, 0.500, 0.000)
Ag (0.000, 0.000, 0.000)
Ag (0.500, 0.000, 0.500)
Cl (0.000, 0.059, 0.312)
Cl (0.000, 0.941, 0.688)
Cl (0.000, 0.312, 0.059)
Cl (0.000, 0.688, 0.941)
Cl (0.500, 0.641, 0.359)
Cl (0.500, 0.359, 0.641)

Output
formation energy from raw total energies: -0.614 eV/atom
symmetry: Cmmm (65)
VASP energy: -0.2035 Ry/atom
magnetic moment: 0.0 μB per cell

***

[16]
Below is an optimized crystal structure of NdLu3Pt, with properties calculated at the PBE-GGA level.

Unit cell a=5.382 b=5.382 c=5.382 alpha=90.00 beta=90.00 gamma=90.00
Atoms (fractional coordinates):
Lu (0.000, 0.500, 0.000)
Lu (0.000, 0.000, 0.500)
Lu (0.500, 0.000, 0.000)
Nd (0.500, 0.500, 0.500)
Pt (0.000, 0.000, 0.000)

Output
symmetry: Pm-3m (221)
VASP energy: -0.3901 Ry/atom
magnetic moment: 0.0 μB per cell

***

[17]
Below is an optimized crystal structure of Sc2ZnInPd4, with properties calculated at the PBE-GGA level.

Unit cell a=4.568 b=4.568 c=7.979 alpha=73.37 beta=73.37 gamma=60.00
Atoms (fractional coordinates):
Sc (0.752, 0.752, 0.744)
Sc (0.248, 0.248, 0.256)
Zn (0.500, 0.500, 0.500)
In (0.000, 0.000, 0.000)
Pd (0.379, 0.379, 0.863)
Pd (0.873, 0.873, 0.382)
Pd (0.127, 0.127, 0.618)
Pd (0.621, 0.621, 0.137)

Output
symmetry: R-3m (166)
VASP energy: -0.4025 Ry/atom
magnetic moment: 0.0 μB per cell

***

[18]
Below is an optimized crystal structure of ScInCo, with properties calculated at the PBE-GGA level.

Unit cell a=3.215 b=3.215 c=6.309 alpha=90.00 beta=90.00 gamma=120.00
Site moments in Bohr magnetons follow the coordinates.
Atoms (fractional coordinates):
Co (0.000, 0.000, 0.989)  0.07
In (0.667, 0.333, 0.300)  0.00
Sc (0.333, 0.667, 0.711)  -0.02

Output
symmetry: P3m1 (156)
VASP energy: -0.3943 Ry/atom
magnetic moment: 0.0 μB per cell

***

[19]
Below is an optimized crystal structure of AcAg4, with properties calculated at the PBE-GGA level.

Unit cell a=5.286 b=5.403 c=5.396 alpha=121.83 beta=101.73 gamma=101.80
Atoms (fractional coordinates):
Ac (0.000, 0.000, 0.000)
Ag (0.296, 0.776, 0.471)
Ag (0.704, 0.528, 0.223)
Ag (0.704, 0.224, 0.529)
Ag (0.296, 0.472, 0.777)

Output
symmetry: P-1 (2)
VASP energy: -0.2414 Ry/atom
excess energy over the best structure of this formula in the dataset: 0 meV per atom
magnetic moment: 0.0 μB per cell

***

[20]
Below is an optimized crystal structure of GaHgF2, with properties calculated at the PBE-GGA level.

Unit cell a=6.464 b=6.464 c=6.557 alpha=60.47 beta=60.47 gamma=90.00
Atoms (fractional coordinates):
Hg (0.000, 0.000, 0.000)
Hg (0.750, 0.250, 0.500)
Ga (0.500, 0.500, 0.000)
Ga (0.250, 0.750, 0.500)
F (0.376, 0.125, 0.250)
F (0.374, 0.625, 0.250)
F (0.375, 0.624, 0.750)
F (0.875, 0.626, 0.750)

Output
formation energy from raw total energies: -1.502 eV/atom
symmetry: I-42d (122)
VASP energy: -0.2403 Ry/atom
excess energy over the best structure of this formula in the dataset: 0 meV per atom
magnetic moment: 0.0 μB per cell

***

[21]
Below is an optimized crystal structure of Dy4Ni3Ru, with properties calculated at the PBE-GGA level.

Unit cell a=3.845 b=4.078 c=10.391 alpha=90.00 beta=90.00 gamma=90.00
Atoms (fractional coordinates):
Ni (0.000, 0.500, 0.570)
Ni (0.000, 0.000, 0.436)
Ni (0.500, 0.000, 0.920)
Ru (0.500, 0.500, 0.073)
Dy (0.500, 0.500, 0.357)
Dy (0.000, 0.500, 0.860)
Dy (0.000, 0.000, 0.143)
Dy (0.500, 0.000, 0.641)

Output
symmetry: Pmm2 (25)
VASP energy: -0.4441 Ry/atom
magnetic moment: 0.0 μB per cell

***

[22]
Below is an optimized crystal structure of HSeIBr2, with properties calculated at the PBE-GGA level.

Unit cell a=5.816 b=5.816 c=5.395 alpha=90.00 beta=90.00 gamma=90.00
Site moments in Bohr magnetons follow the coordinates.
Atoms (fractional coordinates):
I (0.000, 0.000, 0.000)  0.02
H (0.500, 0.500, 0.500)  0.38
Se (0.000, 0.000, 0.500)  0.23
Br (0.000, 0.500, 0.000)  0.04
Br (0.500, 0.000, 0.000)  0.04

Output
symmetry: P4/mmm (123)
VASP energy: -0.1156 Ry/atom
excess energy over the best structure of this formula in the dataset: 332 meV per atom
magnetic moment: 1.5 μB per cell

***

[23]
Below is an optimized crystal structure of SrInGa2Cl8, with properties calculated at the PBE-GGA level.

Unit cell a=6.755 b=6.755 c=9.867 alpha=90.00 beta=90.00 gamma=120.00
Site moments in Bohr magnetons follow the coordinates.
Atoms (fractional coordinates):
Sr (0.000, 0.000, 0.500)  0.02
In (0.000, 0.000, 0.000)  0.00
Ga (0.667, 0.333, 0.238)  0.16
Ga (0.333, 0.667, 0.762)  0.16
Cl (0.333, 0.667, 0.989)  0.04
Cl (0.332, 0.326, 0.308)  0.04
Cl (0.674, 0.006, 0.308)  0.04
Cl (0.667, 0.333, 0.011)  0.04
Cl (0.326, 0.994, 0.692)  0.04
Cl (0.668, 0.674, 0.692)  0.04
Cl (0.006, 0.332, 0.692)  0.04
Cl (0.994, 0.668, 0.308)  0.04

Output
formation energy from raw total energies: -1.248 eV/atom
symmetry: P-3 (147)
VASP energy: -0.2464 Ry/atom
magnetic moment: 0.9 μB per cell

***

[24]
Below is an optimized crystal structure of CdHgTe3, with properties calculated at the PBE-GGA level.

Unit cell a=5.646 b=5.646 c=5.646 alpha=90.00 beta=90.00 gamma=90.00
Atoms (fractional coordinates):
Te (0.000, 0.500, 0.000)
Te (0.000, 0.000, 0.500)
Te (0.500, 0.000, 0.000)
Hg (0.000, 0.000, 0.000)
Cd (0.500, 0.500, 0.500)

Output
formation energy from raw total energies: 0.571 eV/atom
symmetry: Pm-3m (221)
VASP energy: -0.1145 Ry/atom
excess energy over the best structure of this formula in the dataset: 78 meV per atom
magnetic moment: 0.0 μB per cell

***

[25]
Below is an optimized crystal structure of Y3RePt, with properties calculated at the PBE-GGA level.

Unit cell a=5.265 b=5.265 c=5.265 alpha=90.00 beta=90.00 gamma=90.00
Atoms (fractional coordinates):
Y (0.000, 0.500, 0.000)
Y (0.000, 0.000, 0.500)
Y (0.500, 0.000, 0.000)
Re (0.000, 0.000, 0.000)
Pt (0.500, 0.500, 0.500)

Output
symmetry: Pm-3m (221)
VASP energy: -0.5330 Ry/atom
excess energy over the best structure of this formula in the dataset: 0 meV per atom
magnetic moment: 0.0 μB per cell